An optimized crystal structure of Tb3ErTm4S8. Source: Alexandria via LeMat-Bulk, functional PBE.

ΔE_f (raw) in eV/atom: -1.960
Space-group type: R-3m (166)
Raw total energy in eV/atom: -6.2946

Unit cell a=7.766 b=7.766 c=7.766 alpha=59.81 beta=59.81 gamma=59.81
Element x y z (fractional)
1 Tb 0.000 0.500 0.500
2 Tb 0.500 0.000 0.500
3 Tb 0.500 0.500 0.000
4 Er 0.000 0.000 0.000
5 Tm 0.000 0.000 0.500
6 Tm 0.000 0.500 0.000
7 Tm 0.500 0.000 0.000
8 Tm 0.500 0.500 0.500
9 S 0.245 0.749 0.749
10 S 0.247 0.247 0.247
11 S 0.251 0.251 0.755
12 S 0.251 0.755 0.251
13 S 0.749 0.245 0.749
14 S 0.749 0.749 0.245
15 S 0.753 0.753 0.753
16 S 0.755 0.251 0.251